1.
The following is a DFT calculation (PBE) of a geometry-optimized LaTc2Se structure.

Summary:
volume: 77.0 Å³/f.u.
formation energy (no corrections): 0.329 eV/atom
magnetization: 0.8 Bohr magnetons per cell

a b c (Å): 4.7752 4.7752 4.7752
angles (deg): 60.00 60.00 60.00
Closest atoms and distances in Å follow each position.
Sites, in units of the cell vectors:
1 La 0.0000 0.0000 0.0000  4 Se 2.92, 4 Tc 2.92
2 Tc 0.2500 0.2500 0.2500  4 La 2.92, 4 Tc 2.92
3 Tc 0.5000 0.5000 0.5000  4 Se 2.92, 4 Tc 2.92
4 Se 0.7500 0.7500 0.7500  4 La 2.92, 4 Tc 2.92



2.
The following is a DFT calculation (PBE) of a geometry-optimized AcSmSbO2 structure.

Summary:
volume: 116.8 Å³/f.u.
formation energy (no corrections): -2.615 eV/atom
magnetization: 0.0 Bohr magnetons per cell

a b c (Å): 7.6326 7.6326 7.6326
angles (deg): 149.12 149.12 44.24
Closest atoms and distances in Å follow each position.
Sites, in units of the cell vectors:
1 Ac 0.0000 0.0000 0.0000  4 O 2.44
2 Sm 0.3252 0.3252 0.0000  4 O 2.32
3 Sb 0.6678 0.6678 0.0000  4 Sm 3.63, 4 Ac 3.73, 4 O 3.92, 4 Sb 4.06
4 O 0.4045 0.9045 0.5000  2 Sm 2.32, 2 Ac 2.44
5 O 0.9045 0.4045 0.5000  2 Sm 2.32, 2 Ac 2.44